DFT (PBE) results for an optimized crystal structure of RbInS2.

Values from the calculation:
Crystal system: orthorhombic
Energy relative to the elements, uncorrected: -0.9153 eV per atom

Unit cell a=14.962 b=6.847 c=6.847 alpha=85.54 beta=129.28 gamma=50.72
Sites, in units of the cell vectors:
S (0.666, 0.008, 0.159)
S (0.843, 0.325, 0.008)
In (0.754, 0.805, 0.945)
In (0.254, 0.555, 0.695)
S (0.166, 0.341, 0.492)
Rb (0.254, 0.087, 0.163)
S (0.343, 0.492, 0.175)
Rb (0.754, 0.337, 0.413)